Ba12InAg6 (GGA-PBE, relaxed); symmetry = Im-3; offset from the most stable computed form = 0 meV per atom; energy of formation from the pure elements = -0.20 eV per atom
1.0
9.647 0.000 -3.411
-4.823 8.354 -3.411
0.000 0.000 10.232
Ba Ag In
12 6 1
Direct
0.477 0.181 0.295 Ba
0.819 0.705 0.523 Ba
0.181 0.705 0.886 Ba
0.705 0.523 0.819 Ba
0.114 0.819 0.295 Ba
0.523 0.819 0.705 Ba
0.705 0.886 0.181 Ba
0.886 0.181 0.705 Ba
0.181 0.295 0.477 Ba
0.295 0.477 0.181 Ba
0.819 0.295 0.114 Ba
0.295 0.114 0.819 Ba
0.121 0.621 0.500 Ag
0.879 0.379 0.500 Ag
0.500 0.879 0.379 Ag
0.379 0.500 0.879 Ag
0.621 0.500 0.121 Ag
0.500 0.121 0.621 Ag
0.000 0.000 0.000 In

NaScFe2 (GGA-PBE, relaxed); symmetry = I-42d; offset from the most stable computed form = 289 meV per atom; energy of formation from the pure elements = 0.97 eV per atom
1.0
-3.874 -0.679 -0.355
-0.077 -1.474 3.663
-3.734 7.229 4.959
Fe Na Sc
4 2 2
Direct
0.003 0.625 0.250 Fe
0.375 0.253 0.750 Fe
0.747 0.125 0.250 Fe
0.875 0.997 0.750 Fe
0.500 0.500 0.000 Na
0.250 0.750 0.500 Na
0.000 0.000 0.000 Sc
0.750 0.250 0.500 Sc

La8ErIn2 (GGA-PBE, relaxed); symmetry = Immm; offset from the most stable computed form = 0 meV per atom; energy of formation from the pure elements = -0.14 eV per atom
1.0
-4.708 1.642 -1.807
-2.742 -8.684 -0.747
0.985 3.754 8.627
Er In La
1 2 8
Direct
0.500 0.000 0.000 Er
0.197 0.697 0.395 In
0.803 0.303 0.605 In
0.000 0.671 0.000 La
0.659 0.442 0.318 La
0.659 0.876 0.318 La
0.851 0.851 0.702 La
0.341 0.558 0.682 La
0.149 0.149 0.298 La
0.000 0.329 0.000 La
0.341 0.124 0.682 La

TiGe3S (GGA-PBE, relaxed); symmetry = Pm-3m; offset from the most stable computed form = 126 meV per atom; E_form (uncorrected) = 0.70 eV per atom
1.0
4.739 0.000 0.000
0.000 4.739 0.000
0.000 0.000 4.739
Ge S Ti
3 1 1
Direct
0.500 0.000 0.000 Ge
0.000 0.000 0.500 Ge
0.000 0.500 0.000 Ge
0.000 0.000 0.000 S
0.500 0.500 0.500 Ti

TiSI3 (GGA-PBE, relaxed); symmetry = Pm-3m; offset from the most stable computed form = 1526 meV per atom; E_form (uncorrected) = 0.83 eV per atom
1.0
-3.336 3.229 2.949
-3.542 -4.171 0.560
2.565 -1.560 4.609
I Ti S
3 1 1
Direct
0.000 0.000 0.500 I
0.500 0.000 0.000 I
0.000 0.500 0.000 I
0.500 0.500 0.500 Ti
0.000 0.000 0.000 S

Ti3HI7 (GGA-PBE, relaxed); symmetry = P3m1; total energy = -0.297 Ry/atom
1.0
-5.997 -3.990 -1.152
3.770 -6.325 2.280
-3.830 4.270 5.149
I Ti H
7 3 1
Direct
0.010 0.167 0.833 I
0.010 0.667 0.833 I
0.972 0.667 0.333 I
0.010 0.167 0.333 I
0.549 0.834 0.668 I
0.549 0.834 0.166 I
0.549 0.332 0.166 I
0.764 0.477 0.523 Ti
0.764 0.046 0.523 Ti
0.764 0.477 0.954 Ti
0.672 0.333 0.667 H

YZr2Re (GGA-PBE, relaxed); symmetry = F-43m; offset from the most stable computed form = 265 meV per atom; energy of formation from the pure elements = 0.24 eV per atom
1.0
-4.529 1.234 1.570
-3.534 -3.451 0.321
-1.580 -1.519 4.438
Y Zr Re
1 2 1
Direct
0.750 0.750 0.750 Y
0.000 0.000 0.000 Zr
0.250 0.250 0.250 Zr
0.500 0.500 0.500 Re

AgRhOF2 (GGA-PBE, relaxed); symmetry = P4/mmm; offset from the most stable computed form = 0 meV per atom; E_form (uncorrected) = -0.78 eV per atom
1.0
-3.571 0.795 2.387
-1.983 -3.439 -1.823
1.324 -2.202 2.714
F Ag O Rh
2 1 1 1
Direct
0.500 0.000 0.000 F
0.000 0.500 0.000 F
0.500 0.500 0.500 Ag
0.000 0.000 0.500 O
0.000 0.000 0.000 Rh